1.
Entry from the Alexandria database: crystalline Ba2BeF2 at its relaxed geometry (PBE).

Computed properties:
E = -39.29 eV/cell
magnetization = 0.457 μB/f.u.
raw formation energy = -1.67 eV/atom
calculated density = 4.8 g cm⁻³

Cell: 7.9932 7.9932 3.4813 Å, 90.00 90.00 90.00°
Space group P4/mbm (No. 127)
Inequivalent atoms, fractional coordinates:
Ba  0.1849  0.3151  0.0000 (multiplicity 4)
Be  0.0000  0.0000  0.5000 (multiplicity 2)
F  0.1189  0.6189  0.5000 (multiplicity 4)

2.
Entry from the Alexandria database: crystalline Ba2BeHF at its relaxed geometry (PBE).

Computed properties:
E = -15.60 eV/cell
magnetization = 0.000 μB/f.u.
calculated density = 4.1 g cm⁻³

Cell: 5.6656 5.6656 3.8310 Å, 90.00 90.00 90.00°
Space group P4/mmm (No. 123)
Inequivalent atoms, fractional coordinates:
Ba  0.0000  0.5000  0.0000 (multiplicity 2)
Be  0.0000  0.0000  0.5000 (multiplicity 1)
H  0.5000  0.5000  0.5000 (multiplicity 1)
F  0.0000  0.0000  0.0000 (multiplicity 1)

3.
Entry from the Alexandria database: crystalline BaBeIF2 at its relaxed geometry (PBE).

Computed properties:
E = -16.04 eV/cell
magnetization = 0.000 μB/f.u.
raw formation energy = -1.02 eV/atom
calculated density = 4.0 g cm⁻³

Cell: 5.3979 5.3979 4.4405 Å, 90.00 90.00 90.00°
Space group P4/mmm (No. 123)
Inequivalent atoms, fractional coordinates:
Ba  0.0000  0.0000  0.0000 (multiplicity 1)
Be  0.5000  0.5000  0.0000 (multiplicity 1)
I  0.5000  0.5000  0.5000 (multiplicity 1)
F  0.0000  0.5000  0.5000 (multiplicity 2)

4.
Entry from the Alexandria database: crystalline KBaBeF6 at its relaxed geometry (PBE).

Computed properties:
E = -43.32 eV/cell
magnetization = 1.015 μB/f.u.
raw formation energy = -2.82 eV/atom
calculated density = 3.2 g cm⁻³

Cell: 5.8458 5.8458 5.1999 Å, 90.00 90.00 120.00°
Space group P312 (No. 149)
Inequivalent atoms, fractional coordinates:
K  0.0000  0.0000  0.0000 (multiplicity 1)
Ba  0.6667  0.3333  0.5000 (multiplicity 1)
Be  0.3333  0.6667  0.0000 (multiplicity 1)
F  0.0722  0.4332  0.1984 (multiplicity 6)

5.
Entry from the Alexandria database: crystalline KBaBe2F8 at its relaxed geometry (PBE).

Computed properties:
E = -124.49 eV/cell
magnetization = 1.170 μB/f.u.
raw formation energy = -3.07 eV/atom
calculated density = 3.1 g cm⁻³

Cell: 7.8295 5.6498 8.5002 Å, 90.00 102.81 90.00°
Space group C2/m (No. 12)
Inequivalent atoms, fractional coordinates:
K  0.0000  0.0000  0.0000 (multiplicity 2)
Ba  0.0000  0.0000  0.5000 (multiplicity 2)
Be  0.0107  0.5000  0.2471 (multiplicity 4)
F  0.0934  0.2693  0.7635 (multiplicity 8)
F  0.1081  0.5000  0.0934 (multiplicity 4)
F  0.1532  0.5000  0.4085 (multiplicity 4)

6.
Entry from the Alexandria database: crystalline BaLiBeF6 at its relaxed geometry (PBE).

Computed properties:
E = -44.86 eV/cell
magnetization = 1.054 μB/f.u.
raw formation energy = -2.90 eV/atom
calculated density = 3.6 g cm⁻³

Cell: 5.1694 5.1694 5.3576 Å, 90.00 90.00 120.00°
Space group P312 (No. 149)
Inequivalent atoms, fractional coordinates:
Ba  0.0000  0.0000  0.0000 (multiplicity 1)
Li  0.3333  0.6667  0.5000 (multiplicity 1)
Be  0.6667  0.3333  0.5000 (multiplicity 1)
F  0.4096  0.0375  0.6906 (multiplicity 6)

7.
Entry from the Alexandria database: crystalline BaLiBeF5 at its relaxed geometry (PBE).

Computed properties:
E = -177.12 eV/cell
magnetization = 0.095 μB/f.u.
raw formation energy = -3.42 eV/atom
calculated density = 3.6 g cm⁻³

Cell: 7.1444 9.5251 6.8939 Å, 90.00 105.34 90.00°
Space group C2/c (No. 15)
Inequivalent atoms, fractional coordinates:
Ba  0.0000  0.1626  0.2500 (multiplicity 4)
Li  0.0000  0.5000  0.0000 (multiplicity 4)
Be  0.0000  0.1967  0.7500 (multiplicity 4)
F  0.0000  0.4311  0.2500 (multiplicity 4)
F  0.1133  0.2900  0.6318 (multiplicity 8)
F  0.1364  0.0983  0.9111 (multiplicity 8)

8.
Entry from the Alexandria database: crystalline Ba2MgBeF at its relaxed geometry (PBE).

Computed properties:
E = -13.17 eV/cell
magnetization = 0.000 μB/f.u.
raw formation energy = -0.43 eV/atom
calculated density = 3.0 g cm⁻³

Cell: 6.2296 6.2296 4.7193 Å, 90.00 90.00 90.00°
Space group P4/mmm (No. 123)
Inequivalent atoms, fractional coordinates:
Ba  0.0000  0.5000  0.0000 (multiplicity 2)
Mg  0.0000  0.0000  0.5000 (multiplicity 1)
Be  0.0000  0.0000  0.0000 (multiplicity 1)
F  0.5000  0.5000  0.5000 (multiplicity 1)

9.
Entry from the Alexandria database: crystalline Ba2MgBeF at its relaxed geometry (PBE).

Computed properties:
E = -12.17 eV/cell
magnetization = 1.064 μB/f.u.
raw formation energy = -0.23 eV/atom
calculated density = 3.0 g cm⁻³

Cell: 6.7019 6.7019 3.9666 Å, 90.00 90.00 90.00°
Space group P4/mmm (No. 123)
Inequivalent atoms, fractional coordinates:
Ba  0.0000  0.5000  0.0000 (multiplicity 2)
Mg  0.0000  0.0000  0.0000 (multiplicity 1)
Be  0.5000  0.5000  0.5000 (multiplicity 1)
F  0.0000  0.0000  0.5000 (multiplicity 1)